(1)
# Hf5Co2Pt2 (PBE-GGA, relaxed)
# E (Ry per atom): -0.6556
# N(E_F) (states/eV/cell): 32.27
data_Hf5Co2Pt2
_space_group_name_H-M_alt 'I m a 2'
_space_group_IT_number 46
_cell_length_a 14.638
_cell_length_b 7.361
_cell_length_c 6.301
_cell_angle_alpha 90.00
_cell_angle_beta 90.00
_cell_angle_gamma 90.00
loop_
_space_group_symop_operation_xyz
'x,y,z'
'-x,-y,z'
'-x+1/2,y,z'
'x+1/2,-y,z'
'x+1/2,y+1/2,z+1/2'
'-x+1/2,-y+1/2,z+1/2'
'-x,y+1/2,z+1/2'
'x,-y+1/2,z+1/2'
loop_
_atom_site_label
_atom_site_fract_x
_atom_site_fract_y
_atom_site_fract_z
Hf1 0.047 0.192 0.000
Hf2 0.149 0.635 0.771
Hf3 0.250 0.198 0.665
Co1 0.000 0.000 0.323
Co2 0.250 0.510 0.473
Pt1 0.098 0.527 0.178


(2)
# PmPr2Zn2Si2 (PBE-GGA, relaxed)
# ΔE_f (raw) (meV/atom): -481
# N(E_F) (states/eV/cell): 17.92
data_PmPr2Zn2Si2
_space_group_name_H-M_alt 'R -3 m'
_space_group_IT_number 166
_space_group_name_Hall '-R 3 2"'
_cell_length_a 4.1364
_cell_length_b 4.1364
_cell_length_c 35.0462
_cell_angle_alpha 90.00
_cell_angle_beta 90.00
_cell_angle_gamma 120.00
loop_
_atom_site_label
_atom_site_fract_x
_atom_site_fract_y
_atom_site_fract_z
Pm1 0.0000 0.0000 0.0000
Pr1 0.0000 0.0000 0.1206
Zn1 0.0000 0.0000 0.3936
Si1 0.0000 0.0000 0.2733


(3)
# Be17VW (PBE-GGA, relaxed)
# E (Ry per atom): -0.3401
# N(E_F) (states/eV/cell): 7.62
data_Be17VW
_space_group_name_H-M_alt 'R 3 m'
_space_group_IT_number 160
_space_group_name_Hall 'R 3 -2"'
_cell_length_a 7.2587
_cell_length_b 7.2587
_cell_length_c 10.5692
_cell_angle_alpha 90.00
_cell_angle_beta 90.00
_cell_angle_gamma 120.00
loop_
_atom_site_label
_atom_site_fract_x
_atom_site_fract_y
_atom_site_fract_z
Be1 0.0000 0.0000 0.0535
Be2 0.0000 0.0000 0.2547
Be3 0.0064 0.5032 0.3087
Be4 0.0330 0.3652 0.8212
Be5 0.1670 0.3340 0.9887
Be6 0.1709 0.3417 0.3333
V1 0.0000 0.0000 0.8149
W1 0.0000 0.0000 0.4944


(4)
# RbThCd2 (PBE-GGA, relaxed)
# E (Ry per atom): -0.1838
# N(E_F) (states/eV/cell): 4.41
data_RbThCd2
_space_group_name_H-M_alt 'P 4/m m m'
_space_group_IT_number 123
_space_group_name_Hall '-P 4 2'
_cell_length_a 3.881
_cell_length_b 3.881
_cell_length_c 9.073
_cell_angle_alpha 90.00
_cell_angle_beta 90.00
_cell_angle_gamma 90.00
loop_
_atom_site_label
_atom_site_fract_x
_atom_site_fract_y
_atom_site_fract_z
Rb1 0.000 0.000 0.000
Th1 0.000 0.000 0.500
Cd1 0.500 0.500 0.296


(5)
# RbCa2TmI8 (PBE-GGA, relaxed)
# ΔE_f (raw) (meV/atom): -1451
# N(E_F) (states/eV/cell): 0.00
data_RbCa2TmI8
_space_group_name_H-M_alt 'P 1 2/m 1'
_space_group_IT_number 10
_cell_length_a 7.229
_cell_length_b 9.789
_cell_length_c 7.659
_cell_angle_alpha 90.00
_cell_angle_beta 90.64
_cell_angle_gamma 90.00
loop_
_space_group_symop_operation_xyz
'x,y,z'
'-x,-y,-z'
'-x,y,-z'
'x,-y,z'
loop_
_atom_site_label
_atom_site_fract_x
_atom_site_fract_y
_atom_site_fract_z
Rb1 0.000 0.000 0.000
Ca1 0.500 0.253 0.500
Tm1 0.000 0.500 0.000
I1 0.244 0.288 0.163
I2 0.252 0.500 0.672
I3 0.267 0.000 0.620


(6)
# Na4BeI2 (PBE-GGA, relaxed)
# ΔE_f (raw) (meV/atom): -193
# N(E_F) (states/eV/cell): 6.45
data_Na4BeI2
_space_group_name_H-M_alt 'I 4/m m m'
_space_group_IT_number 139
_space_group_name_Hall '-I 4 2'
_cell_length_a 5.466
_cell_length_b 5.466
_cell_length_c 16.710
_cell_angle_alpha 90.00
_cell_angle_beta 90.00
_cell_angle_gamma 90.00
loop_
_atom_site_label
_atom_site_fract_x
_atom_site_fract_y
_atom_site_fract_z
Na1 0.000 0.000 0.172
Na2 0.000 0.500 0.000
Be1 0.000 0.000 0.000
I1 0.000 0.000 0.355


(7)
# Na2CuSe2 (PBE-GGA, relaxed)
# ΔE_f (raw) (meV/atom): -560
# N(E_F) (states/eV/cell): 5.16
data_Na2CuSe2
_space_group_name_H-M_alt 'P 4/m b m'
_space_group_IT_number 127
_space_group_name_Hall '-P 4 2ab'
_cell_length_a 6.969
_cell_length_b 6.969
_cell_length_c 4.414
_cell_angle_alpha 90.00
_cell_angle_beta 90.00
_cell_angle_gamma 90.00
loop_
_atom_site_label
_atom_site_fract_x
_atom_site_fract_y
_atom_site_fract_z
Na1 0.147 0.353 0.000
Cu1 0.000 0.000 0.500
Se1 0.170 0.670 0.500


(8)
# CdSe2S (PBE-GGA, relaxed)
# ΔE to the lowest computed polymorph (meV per atom): 25
# ΔE_f (raw) (meV/atom): 97
# N(E_F) (states/eV/cell): 21.14
data_CdSe2S
_space_group_name_H-M_alt 'R -3 m'
_space_group_IT_number 166
_space_group_name_Hall '-R 3 2"'
_cell_length_a 4.1263
_cell_length_b 4.1263
_cell_length_c 22.8228
_cell_angle_alpha 90.00
_cell_angle_beta 90.00
_cell_angle_gamma 120.00
loop_
_atom_site_label
_atom_site_fract_x
_atom_site_fract_y
_atom_site_fract_z
Cd1 0.0000 0.0000 0.0000
Se1 0.0000 0.0000 0.3980
S1 0.0000 0.0000 0.5000